! SmCdCu5 | the Alexandria database | PBE | optimized geometry; values from VASP
! Space-group type: Pnma, No. 62
! Calculated formation energy in eV per formula unit: -1.262
&SYSTEM
  ibrav = 0, nat = 28, ntyp = 3
/
ATOMIC_SPECIES
Sm 150.36 Sm.upf
Cd 112.41 Cd.upf
Cu 63.55 Cu.upf
CELL_PARAMETERS angstrom
8.3329 0.0000 0.0000
0.0000 5.0742 0.0000
0.0000 0.0000 10.5503
ATOMIC_POSITIONS angstrom
Sm 2.0466 1.2686 0.6700
Sm 2.1199 3.8057 5.9451
Sm 6.2131 1.2686 4.6051
Sm 6.2863 3.8057 9.8803
Cd 1.1396 3.8057 9.1143
Cd 3.0269 1.2686 3.8391
Cd 5.3060 3.8057 6.7111
Cd 7.1934 1.2686 1.4360
Cu 0.4446 3.8057 1.1464
Cu 0.5666 0.0064 3.3081
Cu 0.5666 2.5307 3.3081
Cu 0.6959 1.2686 5.4442
Cu 1.5435 1.2686 7.8274
Cu 2.6230 3.8057 2.5523
Cu 3.4706 3.8057 0.1691
Cu 3.5998 2.5435 8.5832
Cu 3.5998 5.0678 8.5832
Cu 3.7219 1.2686 6.4216
Cu 4.6111 3.8057 4.1287
Cu 4.7331 0.0064 1.9671
Cu 4.7331 2.5307 1.9671
Cu 4.8623 1.2686 10.3812
Cu 5.7100 1.2686 7.9980
Cu 6.7894 3.8057 2.7229
Cu 7.6371 3.8057 5.1060
Cu 7.7663 2.5435 7.2422
Cu 7.7663 5.0678 7.2422
Cu 7.8883 1.2686 9.4038